Entry 1:
## CrCu4Rh (PBE)

Data for a relaxed structure of CrCu4Rh.

Values from the calculation:
- Size of the total moment: 14.91 μB per cell
- Electronic total energy: -5.427 eV per atom
- Energy relative to the elements: 0.133 eV/atom

a b c (Å): 6.7723 6.7723 6.7723
angles (deg): 90.00 90.00 90.00
Closest atoms and distances in Å follow each position.
Space group F-43m (No. 216)
Inequivalent atoms, fractional coordinates:
1 Cr 0.0000 0.0000 0.0000  12 Cu 2.81, 4 Rh 2.93
2 Cu 0.1250 0.1250 0.6250  6 Cu 2.39
3 Rh 0.2500 0.2500 0.2500  12 Cu 2.81, 4 Cr 2.93

Entry 2:
## CaSb2 (PBE)

Data for a relaxed structure of CaSb2.

Values from the calculation:
- Size of the total moment: 0.00 μB per cell
- Electronic total energy: -3.776 eV per atom

a b c (Å): 7.3213 7.3213 6.7040
angles (deg): 90.00 90.00 90.00
Closest atoms and distances in Å follow each position.
Space group I4/mcm (No. 140)
Inequivalent atoms, fractional coordinates:
1 Ca 0.0000 0.0000 0.2500  8 Sb 3.30, 2 Ca 3.35
2 Sb 0.1368 0.3632 0.0000  1 Sb 2.83

Entry 3:
## Dy2Ga4PtRh3 (PBE)

Data for a relaxed structure of Dy2Ga4PtRh3.

Values from the calculation:
- Size of the total moment: 0.00 μB per cell
- Electronic total energy: -5.775 eV per atom
- Energy relative to the elements: -0.834 eV/atom

a b c (Å): 4.2055 4.2055 10.2910
angles (deg): 90.00 90.00 90.00
Closest atoms and distances in Å follow each position.
Space group P-4m2 (No. 115)
Inequivalent atoms, fractional coordinates:
1 Dy 0.0000 0.5000 0.2431  8 Ga 3.18-3.38, 6 Rh 3.24-3.27, 2 Pt 3.27
2 Ga 0.0000 0.0000 0.5000  4 Rh 2.50
3 Ga 0.0000 0.5000 0.8674  3 Rh 2.43-2.51, 2 Pt 2.51
4 Ga 0.5000 0.5000 0.5000  4 Rh 2.50
5 Pt 0.5000 0.5000 0.0000  4 Ga 2.51
6 Rh 0.0000 0.0000 0.0000  4 Ga 2.51
7 Rh 0.0000 0.5000 0.6317  5 Ga 2.43-2.50

Entry 4:
## Na4Ho3ErTe8 (PBE)

Data for a relaxed structure of Na4Ho3ErTe8.

Values from the calculation:
- Size of the total moment: 0.00 μB per cell
- Electronic total energy: -4.352 eV per atom

a b c (Å): 8.8174 8.8174 22.6939
angles (deg): 90.00 90.00 120.00
Closest atoms and distances in Å follow each position.
Space group R-3m (No. 166, hexagonal axes)
Inequivalent atoms, fractional coordinates:
1 Na 0.0000 0.0000 0.0000  6 Te 3.27
2 Na 0.0000 0.5000 0.0000  6 Te 3.26
3 Ho 0.0000 0.5000 0.5000  6 Te 3.09
4 Er 0.0000 0.0000 0.5000  6 Te 3.08
5 Te 0.0000 0.0000 0.2437  3 Ho 3.09, 3 Na 3.26
6 Te 0.0008 0.5004 0.2435  1 Er 3.08, 2 Ho 3.09, 3 Na 3.26-3.27

Entry 5:
## UNbNi2 (PBE)

Data for a relaxed structure of UNbNi2.

Values from the calculation:
- Size of the total moment: 6.18 μB per cell
- Electronic total energy: -8.120 eV per atom
- Energy relative to the elements: 0.110 eV/atom

a b c (Å): 6.3870 6.3870 6.3870
angles (deg): 90.00 90.00 90.00
Closest atoms and distances in Å follow each position.
Space group Fm-3m (No. 225)
Inequivalent atoms, fractional coordinates:
1 U 0.0000 0.0000 0.0000  8 Ni 2.77
2 Nb 0.0000 0.0000 0.5000  8 Ni 2.77
3 Ni 0.2500 0.2500 0.2500  4 Nb 2.77, 4 U 2.77

Entry 6:
## La2NdAs2I2 (PBE)

Data for a relaxed structure of La2NdAs2I2.

Values from the calculation:
- Size of the total moment: 1.89 μB per cell
- Electronic total energy: -5.037 eV per atom

a b c (Å): 5.5885 5.5885 16.6055
angles (deg): 90.00 90.00 90.00
Closest atoms and distances in Å follow each position.
Space group I4/mmm (No. 139)
Inequivalent atoms, fractional coordinates:
1 La 0.0000 0.0000 0.0997  4 As 3.25, 1 La 3.31, 1 I 3.39
2 Nd 0.0000 0.0000 0.5000  4 As 2.79
3 As 0.0000 0.5000 0.0000  2 Nd 2.79
4 I 0.0000 0.0000 0.3041  1 Nd 3.25, 1 La 3.39

Entry 7:
## BaEuSnBi (PBE)

Data for a relaxed structure of BaEuSnBi.

Values from the calculation:
- Size of the total moment: 28.62 μB per cell
- Electronic total energy: -5.622 eV per atom
- Energy relative to the elements: -0.602 eV/atom

a b c (Å): 8.3078 8.3078 8.3078
angles (deg): 90.00 90.00 90.00
Closest atoms and distances in Å follow each position.
Space group F-43m (No. 216)
Inequivalent atoms, fractional coordinates:
1 Ba 0.0000 0.0000 0.0000  4 Bi 3.60, 4 Sn 3.60
2 Eu 0.0000 0.0000 0.5000  4 Sn 3.60, 4 Bi 3.60
3 Sn 0.2500 0.2500 0.7500  4 Ba 3.60, 4 Eu 3.60
4 Bi 0.2500 0.2500 0.2500  4 Ba 3.60, 4 Eu 3.60

Entry 8:
## Ta2Si2Ru3 (PBE)

Data for a relaxed structure of Ta2Si2Ru3.

Values from the calculation:
- Size of the total moment: 0.00 μB per cell
- Electronic total energy: -9.303 eV per atom

a b c (Å): 7.2722 4.1780 7.5714
angles (deg): 90.00 108.48 90.00
Closest atoms and distances in Å follow each position.
Space group C2/m (No. 12)
Inequivalent atoms, fractional coordinates:
1 Ta 0.1256 0.0000 0.3774  5 Ru 2.61-2.76
2 Si 0.1182 0.5000 0.8574  7 Ru 2.51-2.74
3 Ru 0.0000 0.0000 0.0000  6 Si 2.62-2.64, 2 Ta 2.71
4 Ru 0.2467 0.5000 0.2385  4 Si 2.51-2.74, 4 Ta 2.61-2.76

Entry 9:
## La3Sm3Ho8 (PBE)

Data for a relaxed structure of La3Sm3Ho8.

Values from the calculation:
- Size of the total moment: 0.00 μB per cell
- Electronic total energy: -4.581 eV per atom
- Energy relative to the elements: 0.102 eV/atom

a b c (Å): 5.7073 10.8360 15.2986
angles (deg): 90.00 90.00 90.00
Closest atoms and distances in Å follow each position.
Space group Immm (No. 71)
Inequivalent atoms, fractional coordinates:
1 La 0.0000 0.0000 0.0000  4 Sm 3.59, 4 Ho 4.01
2 La 0.0000 0.5000 0.3132  2 Sm 3.59, 8 Ho 3.65-3.70
3 Sm 0.0000 0.0000 0.5000  2 Sm 3.24
4 Sm 0.0000 0.2989 0.5000  1 Sm 3.24, 4 Ho 3.59, 4 La 3.59
5 Ho 0.0000 0.1619 0.2808  6 Ho 3.35-3.56, 3 La 3.65-3.70, 1 Sm 3.67
6 Ho 0.0000 0.3408 0.1020  5 Ho 3.12-3.45

Entry 10:
## KRhPbO6 (PBE)

Data for a relaxed structure of KRhPbO6.

Values from the calculation:
- Size of the total moment: 3.68 μB per cell
- Electronic total energy: -5.278 eV per atom

a b c (Å): 5.4278 10.0806 5.8264
angles (deg): 90.00 91.82 90.00
Closest atoms and distances in Å follow each position.
Space group C2 (No. 5)
Inequivalent atoms, fractional coordinates:
1 K 0.0000 0.0000 0.0000  6 O 2.77-2.97
2 Rh 0.0000 0.6649 0.5000  6 O 1.86-2.05
3 Pb 0.0000 0.3461 0.5000  6 O 2.12-2.31
4 O 0.1383 0.5260 0.3221  1 Rh 1.91
5 O 0.1765 0.8003 0.3008  1 Rh 2.05, 1 Pb 2.12
6 O 0.2439 0.2055 0.2924  1 Rh 1.86

Entry 11:
## Al2Cd2CuAu5 (PBE)

Data for a relaxed structure of Al2Cd2CuAu5.

Values from the calculation:
- Size of the total moment: 0.00 μB per cell
- Electronic total energy: -3.147 eV per atom
- Energy relative to the elements: -0.167 eV/atom

a b c (Å): 10.7443 10.7443 3.1880
angles (deg): 90.00 90.00 90.00
Closest atoms and distances in Å follow each position.
Space group P4/mbm (No. 127)
Inequivalent atoms, fractional coordinates:
1 Al 0.1403 0.3597 0.0000  6 Au 2.63-2.66, 1 Cd 2.85
2 Cd 0.1723 0.6723 0.0000  1 Al 2.85, 6 Au 3.05-3.07, 2 Cd 3.19
3 Cu 0.0000 0.0000 0.0000  8 Au 2.67
4 Au 0.0000 0.5000 0.5000  4 Al 2.66
5 Au 0.0321 0.1972 0.5000  2 Al 2.63, 2 Cu 2.67

Entry 12:
## KTaGeC2 (PBE)

Data for a relaxed structure of KTaGeC2.

Values from the calculation:
- Size of the total moment: 0.39 μB per cell
- Electronic total energy: -5.264 eV per atom
- Energy relative to the elements: 1.939 eV/atom

a b c (Å): 4.2583 4.2583 6.1248
angles (deg): 90.00 90.00 90.00
Closest atoms and distances in Å follow each position.
Space group P4/mmm (No. 123)
Inequivalent atoms, fractional coordinates:
1 K 0.0000 0.0000 0.0000  4 Ge 3.01, 2 Ta 3.06
2 Ta 0.0000 0.0000 0.5000  4 C 2.13
3 Ge 0.5000 0.5000 0.0000  4 K 3.01
4 C 0.0000 0.5000 0.5000  2 Ta 2.13